TlB3O5: PBEsol geometry, meta-GGA SCAN.

## Properties
As for the density of states at the Fermi level: 0.00 states/eV/cell. Its electronic total energy is -588.5 eV/cell. As for the density: 5398 kg/m3. The raw formation energy comes out at -2.3682 eV/atom.

Unit cell a=6.6590 b=6.6590 c=9.1101 alpha=79.82 beta=79.82 gamma=83.35
Element x y z (fractional)
O 0.8919 0.2849 0.0975
O 0.4086 0.2124 0.3025
O 0.7151 0.1081 0.4025
O 0.3981 0.1012 0.7483
O 0.6019 0.8988 0.2517
O 0.7876 0.5914 0.1975
O 0.0923 0.0651 0.4005
O 0.2182 0.0989 0.1298
O 0.9077 0.9349 0.5995
O 0.9011 0.7818 0.3702
O 0.1012 0.3981 0.2483
O 0.8988 0.6019 0.7517
O 0.9349 0.9077 0.0995
O 0.5914 0.7876 0.6975
O 0.0989 0.2182 0.6298
O 0.2124 0.4086 0.8025
O 0.7818 0.9011 0.8702
O 0.0651 0.0923 0.9005
O 0.2849 0.8919 0.5975
O 0.1081 0.7151 0.9025
Tl 0.2684 0.5662 0.4392
Tl 0.4338 0.7316 0.0608
Tl 0.5662 0.2684 0.9392
Tl 0.7316 0.4338 0.5608
B 0.2107 0.1912 0.2645
B 0.8088 0.7893 0.2355
B 0.0714 0.5729 0.8191
B 0.1912 0.2107 0.7645
B 0.7893 0.8088 0.7355
B 0.9286 0.4271 0.1809
B 0.1121 0.0350 0.5660
B 0.0350 0.1121 0.0660
B 0.5729 0.0714 0.3191
B 0.4271 0.9286 0.6809
B 0.9650 0.8879 0.9340
B 0.8879 0.9650 0.4340


TlBO2: PBEsol geometry, meta-GGA SCAN.

## Properties
As for the density of states at the Fermi level: 0.00 states/eV/cell. Its electronic total energy is -801.4 eV/cell. As for the density: 6505 kg/m3. The raw formation energy comes out at -1.9821 eV/atom.

Unit cell a=7.3363 b=7.3363 c=9.3790 alpha=90.00 beta=90.00 gamma=90.00
Element x y z (fractional)
O 0.4980 0.2066 0.5387
O 0.2505 0.4237 0.5340
O 0.5629 0.9504 0.6910
O 0.4237 0.7495 0.2840
O 0.5020 0.7934 0.0387
O 0.0496 0.5629 0.9410
O 0.4860 0.5390 0.8808
O 0.5140 0.4610 0.3808
O 0.7495 0.5763 0.0340
O 0.2066 0.5020 0.2887
O 0.5390 0.5140 0.6308
O 0.4371 0.0496 0.1910
O 0.4610 0.4860 0.1308
O 0.7934 0.4980 0.7887
O 0.9504 0.4371 0.4410
O 0.5763 0.2505 0.7840
B 0.4520 0.4034 0.5212
B 0.4559 0.8683 0.1699
B 0.5441 0.1317 0.6699
B 0.4034 0.5480 0.2712
B 0.1317 0.4559 0.4199
B 0.5480 0.5966 0.0212
B 0.8683 0.5441 0.9199
B 0.5966 0.4520 0.7712
Tl 0.7472 0.9771 0.9065
Tl 0.0229 0.7472 0.1565
Tl 0.2528 0.0229 0.4065
Tl 0.7297 0.2636 0.2434
Tl 0.2636 0.2703 0.9934
Tl 0.9771 0.2528 0.6565
Tl 0.7364 0.7297 0.4934
Tl 0.2703 0.7364 0.7434


TlB3O5: PBEsol geometry, meta-GGA SCAN.

## Properties
As for the density of states at the Fermi level: 0.00 states/eV/cell. Its electronic total energy is -588.4 eV/cell. As for the density: 4788 kg/m3. The raw formation energy comes out at -2.3653 eV/atom.

Unit cell a=5.1434 b=8.2471 c=10.3608 alpha=90.00 beta=90.00 gamma=90.00
Element x y z (fractional)
O 0.2901 0.5363 0.2431
O 0.4438 0.0496 0.4428
O 0.1838 0.7276 0.0785
O 0.3162 0.2724 0.5785
O 0.4336 0.2706 0.2890
O 0.1382 0.0051 0.6060
O 0.0562 0.9504 0.9428
O 0.9438 0.4504 0.5572
O 0.0664 0.7294 0.7890
O 0.8162 0.2276 0.4215
O 0.2099 0.4637 0.7431
O 0.5664 0.7706 0.2110
O 0.6382 0.4949 0.3940
O 0.7099 0.0363 0.2569
O 0.6838 0.7724 0.9215
O 0.9336 0.2294 0.7110
O 0.3618 0.9949 0.1060
O 0.8618 0.5051 0.8940
O 0.5562 0.5496 0.0572
O 0.7901 0.9637 0.7569
B 0.7995 0.3852 0.4606
B 0.2995 0.1148 0.5394
B 0.8982 0.8519 0.8542
B 0.2005 0.8852 0.0394
B 0.6018 0.1481 0.3542
B 0.1018 0.3519 0.6458
B 0.3982 0.6481 0.1458
B 0.9545 0.0667 0.6913
B 0.5455 0.9333 0.1913
B 0.7005 0.6148 0.9606
B 0.4545 0.4333 0.3087
B 0.0455 0.5667 0.8087
Tl 0.9678 0.7672 0.3706
Tl 0.0322 0.2672 0.1294
Tl 0.4678 0.7328 0.6294
Tl 0.5322 0.2328 0.8706


Q: Look up the density of the second one.
A: 6505 kg/m3


Q: What is the electronic total energy in the first record?
A: -588.5 eV/cell


Q: Among the records above, which one has the highest density?
A: TlBO2